Here is a relaxed HfInPt3 crystal from Alexandria via LeMat-Bulk. Energies are from GGA-PBE.

Cell lengths 4.9835, 4.9835, 4.9835 Å; angles 90.00, 90.00, 90.00 degrees
Closest atoms and distances in Å follow each position.
Fractional coordinates of all 5 atoms:
Hf 0.0000 0.0000 0.0000  6 Pt 2.49
In 0.5000 0.5000 0.5000  12 Pt 3.52
Pt 0.0000 0.0000 0.5000  2 Hf 2.49
Pt 0.0000 0.5000 0.0000  2 Hf 2.49
Pt 0.5000 0.0000 0.0000  2 Hf 2.49

Results
The size of the total moment comes out at 0.00 Bohr magnetons per cell. As for the energy above the most stable polymorph in this dataset: 0 meV per atom. For the total energy, the calculation gives -28.64 eV/cell. The crystal system is cubic. Its space-group type is No. 221. For the calculated volume, the calculation gives 24.75 Å³ per atom.

Here is a relaxed HfInPt4 crystal from Alexandria via LeMat-Bulk. Energies are from GGA-PBE.

Cell lengths 9.7680, 9.7680, 5.6314 Å; angles 90.00, 90.00, 156.32 degrees
Closest atoms and distances in Å follow each position.
Fractional coordinates of all 12 atoms:
Hf 0.0787 0.9213 0.7500  11 Pt 2.79-2.88
Hf 0.9213 0.0787 0.2500  11 Pt 2.79-2.88
In 0.2286 0.7714 0.2500  7 Pt 2.74-3.00
In 0.7714 0.2286 0.7500  7 Pt 2.74-3.00
Pt 0.0719 0.9281 0.2500  8 Pt 2.81-2.86, 3 Hf 2.82-2.88, 1 In 3.00
Pt 0.3512 0.6488 0.5005  3 In 2.74-2.88, 2 Hf 2.79, 5 Pt 2.81-2.86
Pt 0.3512 0.6488 0.9995  3 In 2.74-2.88, 2 Hf 2.79, 5 Pt 2.81-2.86
Pt 0.5000 0.5000 0.0000  8 Pt 2.81-2.84, 4 Hf 2.87
Pt 0.5000 0.5000 0.5000  8 Pt 2.81-2.84, 4 Hf 2.87
Pt 0.6488 0.3512 0.0005  3 In 2.74-2.88, 2 Hf 2.79, 5 Pt 2.81-2.86
Pt 0.6488 0.3512 0.4995  3 In 2.74-2.88, 2 Hf 2.79, 5 Pt 2.81-2.86
Pt 0.9281 0.0719 0.7500  8 Pt 2.81-2.86, 3 Hf 2.82-2.88, 1 In 3.00

Results
The size of the total moment comes out at 0.00 Bohr magnetons per cell. For the total energy, the calculation gives -83.96 eV/cell. The crystal system is orthorhombic. Its space-group type is No. 63. For the calculated volume, the calculation gives 17.98 Å³ per atom.

Here is a relaxed HfInPt crystal from Alexandria via LeMat-Bulk. Energies are from GGA-PBE.

Cell lengths 6.0308, 6.0308, 6.0308 Å; angles 148.61, 148.61, 44.99 degrees
Closest atoms and distances in Å follow each position.
Fractional coordinates of all 3 atoms:
Hf 0.0000 0.0000 0.0000  4 Pt 2.77
In 0.6936 0.6936 0.0000  4 Pt 2.97, 4 Hf 3.16, 4 In 3.26
Pt 0.3618 0.3618 0.0000  4 Hf 2.77, 4 In 2.97

Results
The size of the total moment comes out at 0.01 Bohr magnetons per cell. For the total energy, the calculation gives -20.50 eV/cell. The crystal system is tetragonal. Its space-group type is No. 107. For the calculated volume, the calculation gives 19.78 Å³ per atom.

Here is a relaxed HfInPtRh crystal from Alexandria via LeMat-Bulk. Energies are from GGA-PBE.

Cell lengths 4.6342, 4.6342, 4.6342 Å; angles 60.00, 60.00, 60.00 degrees
Closest atoms and distances in Å follow each position.
Fractional coordinates of all 4 atoms:
Hf 0.0000 0.0000 0.0000  4 Rh 2.84, 4 Pt 2.84
In 0.5000 0.5000 0.5000  4 Rh 2.84, 4 Pt 2.84
Pt 0.2500 0.2500 0.2500  4 Hf 2.84, 4 In 2.84
Rh 0.7500 0.7500 0.7500  4 Hf 2.84, 4 In 2.84

Results
The size of the total moment comes out at 0.00 Bohr magnetons per cell. As for the energy above the most stable polymorph in this dataset: 16 meV per atom. For the total energy, the calculation gives -29.20 eV/cell. The crystal system is cubic. Its space-group type is No. 216. For the calculated volume, the calculation gives 17.59 Å³ per atom.

Here is a relaxed HfInPtRh crystal from Alexandria via LeMat-Bulk. Energies are from GGA-PBE.

Cell lengths 4.8707, 4.8707, 4.8707 Å; angles 128.14, 128.14, 76.40 degrees
Closest atoms and distances in Å follow each position.
Fractional coordinates of all 4 atoms:
Hf 0.0000 0.0000 0.0000  4 Rh 2.86, 4 Pt 2.86, 4 In 3.01
In 0.5000 0.5000 0.0000  4 Rh 2.86, 4 Pt 2.86, 4 Hf 3.01
Pt 0.2500 0.7500 0.5000  4 In 2.86, 4 Hf 2.86, 4 Rh 3.01
Rh 0.7500 0.2500 0.5000  4 In 2.86, 4 Hf 2.86, 4 Pt 3.01

Results
The size of the total moment comes out at 0.00 Bohr magnetons per cell. As for the energy above the most stable polymorph in this dataset: 0 meV per atom. For the total energy, the calculation gives -29.27 eV/cell. The crystal system is tetragonal. Its space-group type is No. 119. For the calculated volume, the calculation gives 17.36 Å³ per atom.

Here is a relaxed Hf2InRuPt crystal from Alexandria via LeMat-Bulk. Energies are from GGA-PBE.

Cell lengths 4.9663, 4.9663, 4.9085 Å; angles 90.00, 90.00, 90.00 degrees
Closest atoms and distances in Å follow each position.
Fractional coordinates of all 5 atoms:
Hf 0.0000 0.5000 0.0000  2 Pt 2.48
Hf 0.5000 0.0000 0.0000  2 Pt 2.48
In 0.0000 0.0000 0.5000  8 Hf 3.49, 4 Ru 3.51
Ru 0.5000 0.5000 0.5000  2 Pt 2.45
Pt 0.5000 0.5000 0.0000  2 Ru 2.45, 4 Hf 2.48

Results
The size of the total moment comes out at 0.90 Bohr magnetons per cell. For the total energy, the calculation gives -35.40 eV/cell. The crystal system is tetragonal. Its space-group type is No. 123. For the calculated volume, the calculation gives 24.21 Å³ per atom.